Below is a PBEsol-optimized structure of Sc3AsRh, with properties calculated at the SCAN level.

Calculated values
M_tot in μB/cell: 0.00
ΔH_f (0 K) in eV/atom: -0.4254
VASP energy in eV/atom: -19.760

CIF file:
```
data_Sc3AsRh
_chemical_formula_sum 'Sc3 As1 Rh1'
_cell_length_a 4.876
_cell_length_b 4.876
_cell_length_c 4.876
_cell_angle_alpha 90.00
_cell_angle_beta 90.00
_cell_angle_gamma 90.00
_symmetry_space_group_name_H-M 'P m -3 m'
_symmetry_Int_Tables_number 221
_symmetry_space_group_name_Hall '-P 4 2 3'
loop_
_atom_site_label
_atom_site_type_symbol
_atom_site_fract_x
_atom_site_fract_y
_atom_site_fract_z
_atom_site_occupancy
Sc1 Sc 0.000 0.000 0.500 1
As1 As 0.500 0.500 0.500 1
Rh1 Rh 0.000 0.000 0.000 1
```